This record from Alexandria via LeMat-Bulk describes TbNd5Ho6 after structural relaxation. The functional is GGA-PBE.

Computed properties:
volume: 32.8 Å³ per atom
space group: Immm
magnetization: 0.00 μB/cell
ΔH_f (0 K): 0.0178 eV per atom
crystal system: orthorhombic

a = 5.0975 Å, b = 10.0971 Å, c = 9.5017 Å
α = 122.09°, β = 105.55°, γ = 90.00°
Fractional coordinates of all 12 atoms:
Nd: 0.6656 0.1656 0.3312
Nd: 0.6666 0.6666 0.3333
Nd: 0.3344 0.8344 0.6688
Nd: 0.3334 0.3334 0.6667
Nd: 0.0000 0.5000 0.0000
Ho: 0.1663 0.9171 0.3327
Ho: 0.5000 0.7514 0.0000
Ho: 0.8337 0.0829 0.6673
Ho: 0.5000 0.2486 0.0000
Ho: 0.8337 0.5845 0.6674
Ho: 0.1663 0.4155 0.3326
Tb: 0.0000 0.0000 0.0000